# 1
VASP calculation (GGA-PBE) on a relaxed KRb2MgH5 crystal.

Lattice parameters (Å, degrees): 4.0378 6.2674 7.6099 114.32 105.38 90.00
With the nearest neighbours (Å) after each atom.
Sites, in units of the cell vectors:
K 0.0000 0.5000 0.0000  10 H 3.02-3.13
Rb 0.2129 0.2129 0.4257  7 H 2.82-2.90
Rb 0.7871 0.7871 0.5743  7 H 2.82-2.90
Mg 0.5000 0.0000 0.0000  6 H 2.02-2.05
H 0.6102 0.8819 0.2203  1 Mg 2.05
H 0.3898 0.1181 0.7797  1 Mg 2.05
H 0.3898 0.6616 0.7797  1 Mg 2.05
H 0.6102 0.3384 0.2203  1 Mg 2.05
H 0.0000 0.0000 0.0000  2 Mg 2.02

Computed properties:
SG: Immm, No. 71


# 2
VASP calculation (GGA-PBE) on a relaxed K2MgH6Rh crystal.

Lattice parameters (Å, degrees): 5.0255 5.8473 5.8473 120.00 90.00 90.00
With the nearest neighbours (Å) after each atom.
Sites, in units of the cell vectors:
K 0.1966 0.3333 0.6667  9 H 2.81-2.94
K 0.8034 0.6667 0.3333  9 H 2.81-2.94
Mg 0.5000 0.0000 0.0000  6 H 2.05
H 0.7975 0.1386 0.2773  1 Rh 1.73
H 0.7975 0.1386 0.8614  1 Rh 1.73
H 0.7975 0.7227 0.8614  1 Rh 1.73
H 0.2025 0.8614 0.1386  1 Rh 1.73
H 0.2025 0.2773 0.1386  1 Rh 1.73
H 0.2025 0.8614 0.7227  1 Rh 1.73
Rh 0.0000 0.0000 0.0000  6 H 1.73

Computed properties:
SG: P-3m1, No. 164


# 3
VASP calculation (GGA-PBE) on a relaxed K2MgHS crystal.

Lattice parameters (Å, degrees): 5.0727 4.5116 5.0727 90.00 90.00 90.00
With the nearest neighbours (Å) after each atom.
Sites, in units of the cell vectors:
Mg 0.0000 0.5000 0.0000  2 H 2.26
H 0.0000 0.0000 0.0000  2 Mg 2.26
K 0.0000 0.0000 0.5000  2 H 2.54
K 0.5000 0.0000 0.0000  2 H 2.54
S 0.5000 0.5000 0.5000  8 K 3.39, 4 Mg 3.59

Computed properties:
SG: P4/mmm, No. 123


Size of the total moment values (in μB/f.u.) by entry order: 0.0; 0.0; 0.0.
Calculated total energy values (in eV per formula unit) by entry order: -23.2; -34.2; -13.0.